[1]
Compound: PmGd2Pa
Source: Alexandria
Functional: GGA-PBE
Structure: optimized geometry

a = 4.9479 Å, b = 4.9479 Å, c = 4.9674 Å
α = 90.00°, β = 90.00°, γ = 90.00°
Last column: nearest neighbours and their distance in Å.
Fractional positions:
Pm: 0.0000 0.0000 0.0000  4 Pa 3.50, 8 Gd 3.51
Gd: 0.0000 0.5000 0.5000  4 Gd 3.50, 4 Pa 3.51, 4 Pm 3.51
Gd: 0.5000 0.0000 0.5000  4 Gd 3.50, 4 Pa 3.51, 4 Pm 3.51
Pa: 0.5000 0.5000 0.0000  4 Pm 3.50, 8 Gd 3.51

Output
For the magnetization, the calculation gives 3.391 μB per atom.


[2]
Compound: Pm2GdPa
Source: Alexandria
Functional: GGA-PBE
Structure: optimized geometry

a = 3.3753 Å, b = 3.3753 Å, c = 37.3234 Å
α = 90.00°, β = 90.00°, γ = 120.00°
Last column: nearest neighbours and their distance in Å.
Fractional positions:
Pm: 0.0000 0.0000 0.0864  1 Pa 3.22, 6 Pm 3.38, 3 Gd 3.58
Pm: 0.0000 0.0000 0.9136  1 Pa 3.22, 6 Pm 3.38, 3 Gd 3.58
Pm: 0.3333 0.6667 0.5803  1 Pa 3.22, 6 Pm 3.38, 3 Gd 3.58
Pm: 0.3333 0.6667 0.7530  1 Pa 3.22, 6 Pm 3.38, 3 Gd 3.58
Pm: 0.6667 0.3333 0.2470  1 Pa 3.22, 6 Pm 3.38, 3 Gd 3.58
Pm: 0.6667 0.3333 0.4197  1 Pa 3.22, 6 Pm 3.38, 3 Gd 3.58
Gd: 0.0000 0.0000 0.5000  6 Gd 3.38, 6 Pm 3.58
Gd: 0.3333 0.6667 0.1667  6 Gd 3.38, 6 Pm 3.58
Gd: 0.6667 0.3333 0.8333  6 Gd 3.38, 6 Pm 3.58
Pa: 0.0000 0.0000 0.0000  2 Pm 3.22, 6 Pa 3.38
Pa: 0.3333 0.6667 0.6667  2 Pm 3.22, 6 Pa 3.38
Pa: 0.6667 0.3333 0.3333  2 Pm 3.22, 6 Pa 3.38

Output
For the magnetization, the calculation gives 1.792 μB per atom.


[3]
Compound: PmGdTmPa
Source: Alexandria
Functional: GGA-PBE
Structure: optimized geometry

a = 7.9045 Å, b = 7.9045 Å, c = 7.9045 Å
α = 90.00°, β = 90.00°, γ = 90.00°
Last column: nearest neighbours and their distance in Å.
Fractional positions:
Pm: 0.0000 0.0000 0.0000  4 Tm 3.42, 4 Pa 3.42
Pm: 0.0000 0.5000 0.5000  4 Tm 3.42, 4 Pa 3.42
Pm: 0.5000 0.0000 0.5000  4 Tm 3.42, 4 Pa 3.42
Pm: 0.5000 0.5000 0.0000  4 Tm 3.42, 4 Pa 3.42
Gd: 0.0000 0.0000 0.5000  4 Pa 3.42, 4 Tm 3.42
Gd: 0.0000 0.5000 0.0000  4 Pa 3.42, 4 Tm 3.42
Gd: 0.5000 0.0000 0.0000  4 Pa 3.42, 4 Tm 3.42
Gd: 0.5000 0.5000 0.5000  4 Pa 3.42, 4 Tm 3.42
Tm: 0.2500 0.2500 0.7500  4 Gd 3.42, 4 Pm 3.42
Tm: 0.2500 0.7500 0.2500  4 Gd 3.42, 4 Pm 3.42
Tm: 0.7500 0.2500 0.2500  4 Gd 3.42, 4 Pm 3.42
Tm: 0.7500 0.7500 0.7500  4 Gd 3.42, 4 Pm 3.42
Pa: 0.2500 0.2500 0.2500  4 Pm 3.42, 4 Gd 3.42
Pa: 0.2500 0.7500 0.7500  4 Pm 3.42, 4 Gd 3.42
Pa: 0.7500 0.2500 0.7500  4 Pm 3.42, 4 Gd 3.42
Pa: 0.7500 0.7500 0.2500  4 Pm 3.42, 4 Gd 3.42

Output
For the magnetization, the calculation gives 2.702 μB per atom.


[4]
Compound: PrGdPa4
Source: Alexandria
Functional: GGA-PBE
Structure: optimized geometry

a = 6.1821 Å, b = 6.1821 Å, c = 6.1821 Å
α = 60.00°, β = 60.00°, γ = 60.00°
Last column: nearest neighbours and their distance in Å.
Fractional positions:
Pr: 0.0000 0.0000 0.0000  12 Pa 3.63, 4 Gd 3.79
Gd: 0.2500 0.2500 0.2500  12 Pa 3.62, 4 Pr 3.79
Pa: 0.1257 0.6248 0.6248  6 Pa 3.09-3.10
Pa: 0.6248 0.1257 0.6248  6 Pa 3.09-3.10
Pa: 0.6248 0.6248 0.1257  6 Pa 3.09-3.10
Pa: 0.6248 0.6248 0.6248  6 Pa 3.09-3.10

Output
For the magnetization, the calculation gives 1.218 μB per atom.


[5]
Compound: PrGd2Pa
Source: Alexandria
Functional: GGA-PBE
Structure: optimized geometry

a = 4.9770 Å, b = 4.9770 Å, c = 4.9786 Å
α = 90.00°, β = 90.00°, γ = 90.00°
Last column: nearest neighbours and their distance in Å.
Fractional positions:
Pr: 0.0000 0.0000 0.0000  4 Pa 3.52, 8 Gd 3.52
Gd: 0.0000 0.5000 0.5000  4 Gd 3.52, 4 Pr 3.52, 4 Pa 3.52
Gd: 0.5000 0.0000 0.5000  4 Gd 3.52, 4 Pr 3.52, 4 Pa 3.52
Pa: 0.5000 0.5000 0.0000  4 Pr 3.52, 8 Gd 3.52

Output
For the magnetization, the calculation gives 3.380 μB per atom.


[6]
Compound: PrGd2Pa
Source: Alexandria
Functional: GGA-PBE
Structure: optimized geometry

a = 3.3685 Å, b = 3.3685 Å, c = 37.2347 Å
α = 90.00°, β = 90.00°, γ = 120.00°
Last column: nearest neighbours and their distance in Å.
Fractional positions:
Pr: 0.0000 0.0000 0.0000  6 Pr 3.37, 6 Gd 3.60
Pr: 0.3333 0.6667 0.6667  6 Pr 3.37, 6 Gd 3.60
Pr: 0.6667 0.3333 0.3333  6 Pr 3.37, 6 Gd 3.60
Gd: 0.0000 0.0000 0.4147  1 Pa 3.17, 6 Gd 3.37
Gd: 0.0000 0.0000 0.5853  1 Pa 3.17, 6 Gd 3.37
Gd: 0.3333 0.6667 0.0814  1 Pa 3.17, 6 Gd 3.37
Gd: 0.3333 0.6667 0.2519  1 Pa 3.17, 6 Gd 3.37
Gd: 0.6667 0.3333 0.7481  1 Pa 3.17, 6 Gd 3.37
Gd: 0.6667 0.3333 0.9186  1 Pa 3.17, 6 Gd 3.37
Pa: 0.0000 0.0000 0.5000  2 Gd 3.17, 6 Pa 3.37
Pa: 0.3333 0.6667 0.1667  2 Gd 3.17, 6 Pa 3.37
Pa: 0.6667 0.3333 0.8333  2 Gd 3.17, 6 Pa 3.37

Output
For the magnetization, the calculation gives 3.579 μB per atom.


[7]
Compound: PrGdPa
Source: Alexandria
Functional: GGA-PBE
Structure: optimized geometry

a = 3.4179 Å, b = 3.4179 Å, c = 15.7027 Å
α = 90.00°, β = 90.00°, γ = 90.00°
Last column: nearest neighbours and their distance in Å.
Fractional positions:
Pr: 0.0000 0.0000 0.0000  4 Pr 3.42, 4 Pa 3.45
Pr: 0.5000 0.5000 0.5000  4 Pr 3.42, 4 Pa 3.45
Gd: 0.0000 0.0000 0.6933  4 Pa 3.38, 4 Gd 3.42
Gd: 0.5000 0.5000 0.1933  4 Pa 3.38, 4 Gd 3.42
Pa: 0.0000 0.0000 0.3434  4 Gd 3.38, 4 Pa 3.42, 4 Pr 3.45
Pa: 0.5000 0.5000 0.8434  4 Gd 3.38, 4 Pa 3.42, 4 Pr 3.45

Output
For the magnetization, the calculation gives 2.335 μB per atom.


[8]
Compound: PrGdPa
Source: Alexandria
Functional: GGA-PBE
Structure: optimized geometry

a = 3.4660 Å, b = 3.4660 Å, c = 8.7524 Å
α = 90.00°, β = 90.00°, γ = 120.00°
Last column: nearest neighbours and their distance in Å.
Fractional positions:
Pr: 0.0000 0.0000 0.0000  3 Pa 3.45, 6 Pr 3.47, 3 Gd 3.80
Gd: 0.3333 0.6667 0.6304  3 Pa 3.37, 6 Gd 3.47
Pa: 0.6667 0.3333 0.3211  3 Gd 3.37, 3 Pr 3.45, 6 Pa 3.47

Output
For the magnetization, the calculation gives 2.436 μB per atom.


no.,theoretical density (g cm⁻³),E_tot (eV per atom),V (Å³ per cell)
1,9.429,-10.356,121.6
2,9.176,-7.956,368.2
3,9.444,-7.845,493.9
4,12.149,-9.233,167.1
5,9.243,-10.352,123.3
6,9.346,-10.295,365.9
7,9.581,-9.276,183.4
8,9.651,-9.285,91.1